Entry 1
Entry from the Alexandria database: a relaxed structure of Th2SiAu (PBE).

Computed properties:
N(E_F)	4.792	states/eV/cell
SG	R-3m, No. 166
calculated volume	111.0	Å³/f.u.
total magnetic moment	0.00	Bohr magnetons per cell

a = 7.876 Å, b = 7.876 Å, c = 7.876 Å
α = 30.41°, β = 30.41°, γ = 30.41°
Fractional coordinates of all 4 atoms:
Th: 0.244 0.244 0.244
Th: 0.756 0.756 0.756
Si: 0.500 0.500 0.500
Au: 0.000 0.000 0.000

Entry 2
Entry from the Alexandria database: a relaxed structure of Th2SiAu (PBE).

Computed properties:
N(E_F)	2.326	states/eV/cell
SG	P4/mmm, No. 123
calculated volume	98.8	Å³/f.u.
total magnetic moment	0.00	Bohr magnetons per cell

a = 3.746 Å, b = 3.746 Å, c = 7.043 Å
α = 90.00°, β = 90.00°, γ = 90.00°
Fractional coordinates of all 4 atoms:
Th: 0.000 0.000 0.234
Th: 0.000 0.000 0.766
Si: 0.500 0.500 0.000
Au: 0.500 0.500 0.500

Entry 3
Entry from the Alexandria database: a relaxed structure of Th2SiAu (PBE).

Computed properties:
N(E_F)	8.614	states/eV/cell
SG	P2_1/m, No. 11
calculated volume	101.9	Å³/f.u.
total magnetic moment	0.00	Bohr magnetons per cell

a = 6.104 Å, b = 4.161 Å, c = 8.563 Å
α = 90.00°, β = 110.44°, γ = 90.00°
Fractional coordinates of all 8 atoms:
Th: 0.218 0.250 0.423
Th: 0.282 0.750 0.070
Th: 0.718 0.250 0.930
Th: 0.782 0.750 0.577
Si: 0.373 0.750 0.709
Si: 0.627 0.250 0.291
Au: 0.147 0.250 0.784
Au: 0.853 0.750 0.216

Most stable of them? entry 3.

Entry 1
Entry from the Alexandria database: a relaxed structure of Ti2SiAu2 (PBE).

Computed properties:
N(E_F)	10.783	states/eV/cell
SG	P4/mbm, No. 127
calculated volume	89.7	Å³/f.u.
total magnetic moment	0.00	Bohr magnetons per cell

a = 6.727 Å, b = 6.727 Å, c = 3.965 Å
α = 90.00°, β = 90.00°, γ = 90.00°
Fractional coordinates of all 10 atoms:
Ti: 0.155 0.345 0.000
Ti: 0.345 0.845 0.000
Ti: 0.655 0.155 0.000
Ti: 0.845 0.655 0.000
Si: 0.000 0.000 0.000
Si: 0.500 0.500 0.000
Au: 0.146 0.646 0.500
Au: 0.354 0.146 0.500
Au: 0.646 0.854 0.500
Au: 0.854 0.354 0.500

Entry 2
Entry from the Alexandria database: a relaxed structure of Ti2SiAu2 (PBE).

Computed properties:
N(E_F)	4.313	states/eV/cell
SG	P4/mbm, No. 127
calculated volume	87.3	Å³/f.u.
total magnetic moment	0.00	Bohr magnetons per cell

a = 6.612 Å, b = 6.612 Å, c = 3.992 Å
α = 90.00°, β = 90.00°, γ = 90.00°
Fractional coordinates of all 10 atoms:
Ti: 0.164 0.336 0.000
Ti: 0.336 0.836 0.000
Ti: 0.664 0.164 0.000
Ti: 0.836 0.664 0.000
Si: 0.000 0.000 0.500
Si: 0.500 0.500 0.500
Au: 0.144 0.644 0.500
Au: 0.356 0.144 0.500
Au: 0.644 0.856 0.500
Au: 0.856 0.356 0.500

Most stable of them? entry 2.

Entry 1
Entry from the Alexandria database: a relaxed structure of TiSi2Au2 (PBE).

Computed properties:
N(E_F)	4.729	states/eV/cell
SG	I4/mmm, No. 139
calculated volume	87.8	Å³/f.u.
total magnetic moment	1.14	Bohr magnetons per cell

a = 6.660 Å, b = 6.660 Å, c = 6.660 Å
α = 146.88°, β = 146.88°, γ = 47.54°
Fractional coordinates of all 5 atoms:
Ti: 0.000 0.000 0.000
Si: 0.250 0.750 0.500
Si: 0.750 0.250 0.500
Au: 0.390 0.390 0.000
Au: 0.610 0.610 0.000

Entry 2
Entry from the Alexandria database: a relaxed structure of TiSi2Au2 (PBE).

Computed properties:
N(E_F)	3.229	states/eV/cell
SG	P4/mbm, No. 127
calculated volume	82.9	Å³/f.u.
total magnetic moment	0.00	Bohr magnetons per cell

a = 7.135 Å, b = 7.135 Å, c = 3.257 Å
α = 90.00°, β = 90.00°, γ = 90.00°
Fractional coordinates of all 10 atoms:
Ti: 0.000 0.000 0.000
Ti: 0.500 0.500 0.000
Si: 0.153 0.347 0.000
Si: 0.347 0.847 0.000
Si: 0.653 0.153 0.000
Si: 0.847 0.653 0.000
Au: 0.150 0.650 0.500
Au: 0.350 0.150 0.500
Au: 0.650 0.850 0.500
Au: 0.850 0.350 0.500

Most stable of them? entry 2.

Entry 1
Entry from the Alexandria database: a relaxed structure of TlSiAu4 (PBE).

Computed properties:
N(E_F)	3.595	states/eV/cell
SG	P-1, No. 2
calculated volume	128.5	Å³/f.u.
total magnetic moment	0.00	Bohr magnetons per cell

a = 5.905 Å, b = 6.251 Å, c = 7.290 Å
α = 101.55°, β = 95.10°, γ = 100.44°
Fractional coordinates of all 12 atoms:
Tl: 0.146 0.267 0.437
Tl: 0.854 0.733 0.563
Si: 0.000 0.500 0.000
Si: 0.500 0.000 0.000
Au: 0.141 0.145 0.917
Au: 0.271 0.680 0.280
Au: 0.370 0.574 0.856
Au: 0.410 0.908 0.650
Au: 0.590 0.092 0.350
Au: 0.630 0.426 0.144
Au: 0.729 0.320 0.720
Au: 0.859 0.855 0.083

Entry 2
Entry from the Alexandria database: a relaxed structure of TlSiAu4 (PBE).

Computed properties:
N(E_F)	5.154	states/eV/cell
SG	Cmcm, No. 63
calculated volume	132.2	Å³/f.u.
total magnetic moment	0.00	Bohr magnetons per cell

a = 9.762 Å, b = 9.762 Å, c = 5.978 Å
α = 90.00°, β = 90.00°, γ = 152.34°
Fractional coordinates of all 12 atoms:
Tl: 0.094 0.906 0.750
Tl: 0.906 0.094 0.250
Si: 0.395 0.605 0.750
Si: 0.605 0.395 0.250
Au: 0.156 0.844 0.250
Au: 0.294 0.706 0.017
Au: 0.294 0.706 0.483
Au: 0.500 0.500 0.000
Au: 0.500 0.500 0.500
Au: 0.706 0.294 0.517
Au: 0.706 0.294 0.983
Au: 0.844 0.156 0.750

Most stable of them? entry 2.

Entry 1
Entry from the Alexandria database: a relaxed structure of Si2WAu (PBE).

Computed properties:
N(E_F)	2.941	states/eV/cell
SG	Cm, No. 8
calculated volume	60.8	Å³/f.u.
total magnetic moment	0.00	Bohr magnetons per cell

a = 4.817 Å, b = 4.817 Å, c = 4.341 Å
α = 104.92°, β = 104.92°, γ = 38.86°
Fractional coordinates of all 4 atoms:
Si: 0.000 0.000 0.000
Si: 0.744 0.744 0.366
W: 0.269 0.269 0.902
Au: 0.498 0.498 0.512

Entry 2
Entry from the Alexandria database: a relaxed structure of Si2WAu (PBE).

Computed properties:
N(E_F)	1.978	states/eV/cell
SG	I4/mmm, No. 139
calculated volume	61.0	Å³/f.u.
total magnetic moment	0.55	Bohr magnetons per cell

a = 4.763 Å, b = 4.763 Å, c = 4.763 Å
α = 130.51°, β = 130.51°, γ = 72.60°
Fractional coordinates of all 4 atoms:
Si: 0.250 0.750 0.500
Si: 0.750 0.250 0.500
W: 0.000 0.000 0.000
Au: 0.500 0.500 0.000

Most stable of them? entry 1.

Entry 1
Entry from the Alexandria database: a relaxed structure of Si2WAu (PBE).

Computed properties:
N(E_F)	2.014	states/eV/cell
SG	C2/m, No. 12
calculated volume	63.2	Å³/f.u.
total magnetic moment	0.00	Bohr magnetons per cell

a = 5.180 Å, b = 5.180 Å, c = 2.857 Å
α = 104.92°, β = 104.92°, γ = 111.78°
Fractional coordinates of all 4 atoms:
Si: 0.000 0.500 0.000
Si: 0.500 0.000 0.000
W: 0.000 0.000 0.000
Au: 0.500 0.500 0.000

Entry 2
Entry from the Alexandria database: a relaxed structure of Si2WAu (PBE).

Computed properties:
N(E_F)	1.618	states/eV/cell
SG	P4mm, No. 99
calculated volume	62.6	Å³/f.u.
total magnetic moment	0.00	Bohr magnetons per cell

a = 2.781 Å, b = 2.781 Å, c = 8.096 Å
α = 90.00°, β = 90.00°, γ = 90.00°
Fractional coordinates of all 4 atoms:
Si: 0.000 0.000 0.000
Si: 0.500 0.500 0.244
W: 0.000 0.000 0.474
Au: 0.500 0.500 0.741

Most stable of them? entry 1.